Material: BSbPt
Method: DFT, PBE
State: relaxed

```
12
Lattice="5.815 0.000 0.000 0.000 5.815 0.000 0.000 0.000 5.815" Properties=species:S:1:pos:R:3 pbc="T T T"
B 0.000 0.000 0.000
B 0.000 2.908 2.908
B 2.908 0.000 2.908
B 2.908 2.908 0.000
Sb 1.454 1.454 1.454
Sb 1.454 4.361 4.361
Sb 4.361 1.454 4.361
Sb 4.361 4.361 1.454
Pt 1.454 1.454 4.361
Pt 1.454 4.361 1.454
Pt 4.361 1.454 1.454
Pt 4.361 4.361 4.361
```

The total moment comes out at 0.0 μB per cell. For the relative energy among the computed polymorphs, the calculation gives 0 meV/atom. The density is 11.1 g cm⁻³.